Computed, not measured: an optimized crystal structure of DyRe at the PBE-GGA level of DFT.

DFT formation energy (eV/atom): 1.39
Energy (eV/atom): -7.126

Structure (POSCAR):
```
DyRe
1.0
0.000 2.860 2.860
2.860 0.000 2.860
2.860 2.860 0.000
Dy Re
1 1
Cartesian
0.000 0.000 0.000
2.860 2.860 2.860
```

Computed, not measured: an optimized crystal structure of LuZnAg at the PBE-GGA level of DFT.

DFT formation energy (eV/atom): 0.20
Energy (eV/atom): -2.674

Structure (POSCAR):
```
LuZnAg
1.0
0.000 3.323 3.323
3.323 0.000 3.323
3.323 3.323 0.000
Ag Lu Zn
1 1 1
Cartesian
1.661 1.661 1.661
0.000 0.000 0.000
4.984 4.984 4.984
```